Record 1
A plane-wave DFT calculation with GGA-PBE was carried out for crystalline TbMnFeB3 at its relaxed geometry. Values from VASP.

* size of the total moment: 0.0 Bohr magnetons per cell
* crystal system: orthorhombic
* space-group type: No. 63
* E_tot: -7.297 eV per atom

Geometry as Quantum ESPRESSO input:
```
&SYSTEM
  ibrav = 0, nat = 12, ntyp = 4
/
ATOMIC_SPECIES
Tb 158.93 Tb.upf
Mn 54.94 Mn.upf
Fe 55.84 Fe.upf
B 10.81 B.upf
ATOMIC_POSITIONS angstrom
Tb -2.939 -2.511 2.829
Tb 0.079 -0.352 3.778
Mn -0.762 -1.011 0.690
Mn -2.098 -1.852 5.917
Fe -2.924 0.716 3.195
Fe 0.064 -3.579 3.412
B -1.840 -0.150 1.940
B 1.011 -0.113 0.951
B 1.843 -2.745 3.483
B -0.006 -2.539 1.745
B 2.860 -0.318 2.689
B -1.020 -2.713 4.668
CELL_PARAMETERS angstrom
-2.034 -4.853 1.590
3.871 -0.431 3.639
-4.697 2.420 1.378
```

---

Record 2
A plane-wave DFT calculation with GGA-PBE was carried out for crystalline Mn5FeTc2B2 at its relaxed geometry. Values from VASP.

* size of the total moment: 4.5 Bohr magnetons per cell
* crystal system: tetragonal
* space-group type: No. 127
* E_tot: -9.000 eV per atom

Geometry as Quantum ESPRESSO input:
```
&SYSTEM
  ibrav = 0, nat = 20, ntyp = 4
/
ATOMIC_SPECIES
Mn 54.94 Mn.upf
Fe 55.84 Fe.upf
Tc 98.00 Tc.upf
B 10.81 B.upf
ATOMIC_POSITIONS angstrom
Mn -0.196 -2.066 -1.177
Mn 6.304 -7.484 -4.171
Mn 5.040 -4.614 1.347
Mn 2.621 -5.164 -4.513
Mn 1.068 -4.936 -6.695
Mn 3.487 -4.386 -0.835
Mn 4.633 -5.875 -2.813
Mn 1.475 -3.676 -2.535
Mn -0.609 -2.687 -3.610
Mn 2.920 -3.206 1.348
Fe 0.000 0.000 0.000
Fe 3.797 -3.657 -3.086
Tc 1.480 -2.866 -5.116
Tc 6.113 -4.447 -1.055
Tc 2.411 -1.904 -0.823
Tc 5.182 -5.409 -5.349
B 4.599 -2.990 0.175
B 2.994 -4.323 -6.346
B 6.589 -5.616 -3.373
B 1.004 -1.697 -2.799
CELL_PARAMETERS angstrom
-1.485 -2.237 0.823
0.267 -3.137 -8.043
7.326 -4.176 1.872
```

---

Record 3
A plane-wave DFT calculation with GGA-PBE was carried out for crystalline Ti2Mn5FeB2 at its relaxed geometry. Values from VASP.

* size of the total moment: 12.4 Bohr magnetons per cell
* crystal system: tetragonal
* space-group type: No. 127
* E_tot: -8.680 eV per atom

Geometry as Quantum ESPRESSO input:
```
&SYSTEM
  ibrav = 0, nat = 20, ntyp = 4
/
ATOMIC_SPECIES
Ti 47.87 Ti.upf
Mn 54.94 Mn.upf
Fe 55.84 Fe.upf
B 10.81 B.upf
ATOMIC_POSITIONS angstrom
Ti -3.040 -4.743 -1.918
Ti 3.013 -6.644 -2.271
Ti 0.938 -2.866 -1.000
Ti -0.965 -8.520 -3.189
Mn -0.945 -2.075 0.753
Mn 0.761 -10.326 -2.183
Mn 4.280 -5.480 -0.200
Mn -1.781 -6.977 -1.097
Mn -4.464 -6.921 -1.230
Mn 1.597 -5.424 -0.333
Mn 0.767 -7.804 -1.255
Mn -0.951 -4.597 -0.174
Mn -3.114 -3.292 0.182
Mn 2.943 -3.416 0.483
Fe 0.000 0.000 0.000
Fe -0.013 -5.693 -2.094
B 3.019 -4.327 -1.419
B -3.045 -7.060 -2.770
B 1.500 -8.571 -3.066
B -1.527 -2.815 -1.123
CELL_PARAMETERS angstrom
-0.158 -1.015 2.759
-6.071 -5.568 -2.395
6.044 -5.818 -1.794
```

---

Record 4
A plane-wave DFT calculation with GGA-PBE was carried out for crystalline TmMnFeB2 at its relaxed geometry. Values from VASP.

* size of the total moment: 2.7 Bohr magnetons per cell
* crystal system: tetragonal
* space-group type: No. 119
* E_tot: -7.525 eV per atom

Geometry as Quantum ESPRESSO input:
```
&SYSTEM
  ibrav = 0, nat = 5, ntyp = 4
/
ATOMIC_SPECIES
Tm 168.93 Tm.upf
Mn 54.94 Mn.upf
Fe 55.84 Fe.upf
B 10.81 B.upf
ATOMIC_POSITIONS angstrom
Tm 0.000 0.000 0.000
Mn 1.723 0.703 2.259
Fe -0.556 0.000 2.873
B 0.980 -1.322 2.122
B 0.186 2.025 3.010
CELL_PARAMETERS angstrom
-1.353 -2.623 1.849
3.204 -1.216 0.620
-0.684 4.542 2.664
```

---

Record 5
A plane-wave DFT calculation with GGA-PBE was carried out for crystalline U2MnFe3B12 at its relaxed geometry. Values from VASP.

* size of the total moment: 8.0 Bohr magnetons per cell
* crystal system: trigonal
* space-group type: No. 166
* E_tot: -7.588 eV per atom

Geometry as Quantum ESPRESSO input:
```
&SYSTEM
  ibrav = 0, nat = 18, ntyp = 4
/
ATOMIC_SPECIES
U 238.03 U.upf
Mn 54.94 Mn.upf
Fe 55.84 Fe.upf
B 10.81 B.upf
ATOMIC_POSITIONS angstrom
U 11.531 6.712 4.761
U 6.435 3.746 2.657
Mn 0.000 0.000 0.000
Fe 3.893 0.716 0.508
Fe 2.545 3.031 0.508
Fe 2.545 1.482 2.693
B 4.598 2.676 0.826
B 13.832 8.052 3.665
B 12.154 9.005 6.387
B 3.718 3.176 2.253
B 13.832 6.121 6.387
B 4.598 1.664 2.253
B 13.368 7.781 6.592
B 4.134 2.406 3.752
B 5.813 1.453 1.031
B 14.249 7.282 5.165
B 4.134 4.337 1.031
B 13.368 8.794 5.165
CELL_PARAMETERS angstrom
7.785 1.433 1.016
5.091 6.062 1.016
5.091 2.963 5.386
```

---

Record 6
A plane-wave DFT calculation with GGA-PBE was carried out for crystalline MnVFeB at its relaxed geometry. Values from VASP.

* size of the total moment: 1.0 Bohr magnetons per cell
* crystal system: cubic
* space-group type: No. 216
* E_tot: -8.464 eV per atom

Geometry as Quantum ESPRESSO input:
```
&SYSTEM
  ibrav = 0, nat = 4, ntyp = 4
/
ATOMIC_SPECIES
B 10.81 B.upf
Mn 54.94 Mn.upf
Fe 55.84 Fe.upf
V 50.94 V.upf
ATOMIC_POSITIONS angstrom
B 0.000 0.000 0.000
Mn -1.815 0.457 1.402
Fe -5.445 1.370 4.205
V -3.630 0.913 2.804
CELL_PARAMETERS angstrom
-1.743 2.698 2.065
-3.810 0.048 0.252
-1.707 -0.919 3.290
```

---

Record 7
A plane-wave DFT calculation with GGA-PBE was carried out for crystalline Mn5V2FeB2 at its relaxed geometry. Values from VASP.

* size of the total moment: 9.6 Bohr magnetons per cell
* crystal system: tetragonal
* space-group type: No. 127
* E_tot: -8.849 eV per atom

Geometry as Quantum ESPRESSO input:
```
&SYSTEM
  ibrav = 0, nat = 20, ntyp = 4
/
ATOMIC_SPECIES
Mn 54.94 Mn.upf
V 50.94 V.upf
Fe 55.84 Fe.upf
B 10.81 B.upf
ATOMIC_POSITIONS angstrom
Mn 1.446 1.787 0.580
Mn 1.446 6.664 7.870
Mn 1.446 0.580 6.664
Mn 1.446 6.012 3.645
Mn 1.446 7.870 1.787
Mn 1.446 2.438 4.806
Mn 1.446 4.806 6.012
Mn 1.446 3.645 2.438
Mn 1.446 4.225 0.000
Mn 1.446 0.000 4.225
V 0.000 5.703 1.478
V 0.000 2.747 6.973
V 0.000 1.478 2.747
V 0.000 6.973 5.703
Fe 0.000 0.000 0.000
Fe 0.000 4.225 4.225
B 0.000 1.047 5.272
B 0.000 7.404 3.179
B 0.000 5.272 7.404
B 0.000 3.179 1.047
CELL_PARAMETERS angstrom
2.893 0.000 0.000
0.000 8.450 0.000
0.000 0.000 8.450
```

---

Record 8
A plane-wave DFT calculation with GGA-PBE was carried out for crystalline Mn5FeB2W2 at its relaxed geometry. Values from VASP.

* size of the total moment: 3.7 Bohr magnetons per cell
* crystal system: tetragonal
* space-group type: No. 127
* E_tot: -9.577 eV per atom

Geometry as Quantum ESPRESSO input:
```
&SYSTEM
  ibrav = 0, nat = 20, ntyp = 4
/
ATOMIC_SPECIES
Mn 54.94 Mn.upf
Fe 55.84 Fe.upf
B 10.81 B.upf
W 183.84 W.upf
ATOMIC_POSITIONS angstrom
Mn -1.065 1.650 1.394
Mn 0.732 3.694 9.858
Mn 4.144 3.071 4.615
Mn -1.845 2.628 6.547
Mn -4.476 2.273 6.638
Mn 1.513 2.716 4.706
Mn 0.717 3.143 7.260
Mn -1.049 2.201 3.993
Mn -3.183 1.639 2.767
Mn 2.816 2.448 2.560
Fe 0.000 0.000 0.000
Fe 0.035 1.257 5.925
B 3.026 1.342 4.316
B -2.956 1.173 7.535
B 1.577 2.092 8.835
B -1.508 0.423 3.015
W -2.970 0.669 5.162
W 3.040 1.846 6.688
W 0.895 0.747 2.932
W -0.825 1.768 8.918
CELL_PARAMETERS angstrom
-0.402 2.829 -0.598
-5.965 0.449 6.132
6.034 2.066 5.718
```